1.
Here is a geometry-optimized LiAlRe2 structure from Alexandria via LeMat-Bulk. Energies are from PBE-GGA.

Energy of formation, eV/f.u.: 0.3
Calculated total energy, eV per cell: -30.29
Total magnetic moment, μB/cell: 0.00
Density of states at the Fermi level, states/eV/atom: 0.603

a b c (Å): 2.6313 4.3055 5.1223
angles (deg): 90.00 101.43 90.00
Last column: nearest neighbours and their distance in Å.
Space group P2/m (No. 10)
Symmetry-distinct sites (fractional):
1 Li 0.0000 0.0000 0.0000 [1 per cell]  2 Li 2.63, 4 Re 2.63, 2 Al 2.64
2 Al 0.5000 0.0000 0.5000 [1 per cell]  2 Al 2.63, 2 Li 2.64, 4 Re 2.67
3 Re 0.2451 0.5000 0.7555 [2 per cell]  4 Re 2.60-2.68, 2 Li 2.63, 2 Al 2.67

=====

2.
Here is a geometry-optimized K3NpCr2S6 structure from Alexandria via LeMat-Bulk. Energies are from PBE-GGA.

Calculated total energy, eV per cell: -146.13
Energy relative to the elements, uncorrected, eV/atom: -1.0683
Total magnetic moment, μB/cell: 20.00
Density of states at the Fermi level, states/eV/atom: 0.907

a b c (Å): 6.5498 11.3393 7.6311
angles (deg): 90.00 106.72 90.00
Last column: nearest neighbours and their distance in Å.
Space group C2/m (No. 12)
Symmetry-distinct sites (fractional):
1 K 0.0000 0.0000 0.0000 [2 per cell]  6 S 3.07-3.21
2 K 0.0000 0.3374 0.0000 [4 per cell]  6 S 3.08-3.22
3 Np 0.0000 0.5000 0.5000 [2 per cell]  6 S 2.70-2.71
4 Cr 0.0000 0.1668 0.5000 [4 per cell]  6 S 2.51-2.52
5 S 0.2059 0.0000 0.6865 [4 per cell]  2 Cr 2.51, 1 Np 2.70
6 S 0.2410 0.3218 0.6877 [8 per cell]  2 Cr 2.52, 1 Np 2.71

=====

3.
Here is a geometry-optimized LiNbTc2 structure from Alexandria via LeMat-Bulk. Energies are from PBE-GGA.

Energy of formation, eV/f.u.: 2.7
Calculated total energy, eV per cell: -120.24
Total magnetic moment, μB/cell: 0.00
Density of states at the Fermi level, states/eV/atom: 1.165

a b c (Å): 6.8882 6.8882 5.2181
angles (deg): 90.00 90.00 90.00
Last column: nearest neighbours and their distance in Å.
Space group I-42d (No. 122)
Symmetry-distinct sites (fractional):
1 Li 0.0000 0.0000 0.0000 [4 per cell]  4 Tc 2.45, 2 Nb 2.61
2 Nb 0.0000 0.0000 0.5000 [4 per cell]  4 Tc 2.59, 2 Li 2.61
3 Tc 0.2349 0.2500 0.1250 [8 per cell]  2 Li 2.45, 2 Nb 2.59, 2 Tc 2.62

=====

4.
Here is a geometry-optimized Mn2RhW structure from Alexandria via LeMat-Bulk. Energies are from PBE-GGA.

Energy of formation, eV/f.u.: 0.3
Calculated total energy, eV per cell: -38.37
Total magnetic moment, μB/cell: 0.42
Density of states at the Fermi level, states/eV/atom: 0.883

a b c (Å): 2.6575 4.0804 5.0796
angles (deg): 90.00 105.14 90.00
Last column: nearest neighbours and their distance in Å.
Space group Pm (No. 6)
Symmetry-distinct sites (fractional):
1 Mn 0.0000 0.0000 0.0000 [1 per cell]  2 Mn 2.31
2 Mn 0.1085 0.5000 0.2201 [1 per cell]  2 Mn 2.31, 1 W 2.57
3 Rh 0.7304 0.0000 0.4615 [1 per cell]  7 Mn 2.62-2.71, 2 Rh 2.66, 4 W 2.80
4 W 0.3738 0.5000 0.7438 [1 per cell]  7 Mn 2.57-2.74, 2 W 2.66, 4 Rh 2.80

=====

5.
Here is a geometry-optimized Sc6TlGe2Se3 structure from Alexandria via LeMat-Bulk. Energies are from PBE-GGA.

Calculated total energy, eV per cell: -146.64
Energy relative to the elements, uncorrected, eV/atom: -1.1062
Total magnetic moment, μB/cell: 0.00
Density of states at the Fermi level, states/eV/atom: 0.396

a b c (Å): 17.4763 3.8944 8.0063
angles (deg): 90.00 107.96 90.00
Last column: nearest neighbours and their distance in Å.
Space group C2/m (No. 12)
Symmetry-distinct sites (fractional):
1 Sc 0.0020 0.0000 0.2305 [4 per cell]  3 Se 2.68-2.74, 1 Ge 2.77, 2 Tl 2.91
2 Sc 0.1723 0.5000 0.0673 [4 per cell]  3 Ge 2.74-2.75, 3 Se 2.86-2.89
3 Sc 0.1738 0.5000 0.5864 [4 per cell]  3 Se 2.66-2.84, 2 Ge 2.75, 1 Tl 2.90
4 Tl 0.0000 0.5000 0.5000 [2 per cell]  6 Sc 2.90-2.91
5 Ge 0.1621 0.0000 0.8199 [4 per cell]  6 Sc 2.74-2.77
6 Se 0.0000 0.5000 0.0000 [2 per cell]  6 Sc 2.68-2.89
7 Se 0.1664 0.0000 0.3244 [4 per cell]  6 Sc 2.66-2.86

=====

6.
Here is a geometry-optimized MgTiI4 structure from Alexandria via LeMat-Bulk. Energies are from PBE-GGA.

Calculated total energy, eV per cell: -41.40
Energy relative to the elements, uncorrected, eV/atom: -0.8349
Total magnetic moment, μB/cell: 4.00
Density of states at the Fermi level, states/eV/atom: 0.843

a b c (Å): 16.0637 4.0989 7.3044
angles (deg): 90.00 106.22 90.00
Last column: nearest neighbours and their distance in Å.
Space group C2/m (No. 12)
Symmetry-distinct sites (fractional):
1 Mg 0.0000 0.0000 0.0000 [2 per cell]  6 I 2.92-2.96
2 Ti 0.0000 0.5000 0.5000 [2 per cell]  6 I 2.90-2.91
3 I 0.1079 0.0000 0.4014 [4 per cell]  2 Ti 2.90, 1 Mg 2.96
4 I 0.1076 0.5000 0.8933 [4 per cell]  1 Ti 2.91, 2 Mg 2.92

=====

7.
Here is a geometry-optimized SrBiSe structure from Alexandria via LeMat-Bulk. Energies are from PBE-GGA.

Calculated total energy, eV per cell: -50.29
Energy relative to the elements, uncorrected, eV/atom: -1.1747
Total magnetic moment, μB/cell: 0.00
Density of states at the Fermi level, states/eV/atom: 0.195

a b c (Å): 6.3114 6.1796 10.5219
angles (deg): 90.00 97.48 90.00
Last column: nearest neighbours and their distance in Å.
Space group C2/m (No. 12)
Symmetry-distinct sites (fractional):
1 Sr 0.2124 0.0000 0.3450 [4 per cell]  5 Se 3.09-3.17
2 Bi 0.2171 0.0000 0.9536 [4 per cell]  3 Bi 3.03-3.25, 1 Se 3.33
3 Se 0.2122 0.5000 0.3541 [4 per cell]  5 Sr 3.09-3.17, 1 Bi 3.33

=====

8.
Here is a geometry-optimized GaFeP3 structure from Alexandria via LeMat-Bulk. Energies are from PBE-GGA.

Energy of formation, eV/f.u.: 2.4
Calculated total energy, eV per cell: -25.27
Total magnetic moment, μB/cell: 0.00
Density of states at the Fermi level, states/eV/atom: 1.030

a b c (Å): 4.3798 4.3798 4.3798
angles (deg): 90.00 90.00 90.00
Last column: nearest neighbours and their distance in Å.
Space group Pm-3m (No. 221)
Symmetry-distinct sites (fractional):
1 Ga 0.0000 0.0000 0.0000 [1 per cell]  12 P 3.10
2 Fe 0.5000 0.5000 0.5000 [1 per cell]  6 P 2.19
3 P 0.0000 0.5000 0.5000 [3 per cell]  2 Fe 2.19

=====

9.
Here is a geometry-optimized Er3Tm2Se6 structure from Alexandria via LeMat-Bulk. Energies are from PBE-GGA.

Calculated total energy, eV per cell: -187.93
Energy relative to the elements, uncorrected, eV/atom: -1.7369
Total magnetic moment, μB/cell: 0.00
Density of states at the Fermi level, states/eV/atom: 0.410

a b c (Å): 4.0592 4.0592 60.1440
angles (deg): 90.00 90.00 120.00
Last column: nearest neighbours and their distance in Å.
Space group R-3m (No. 166, hexagonal axes)
Symmetry-distinct sites (fractional):
1 Er 0.0000 0.0000 0.0000 [3 per cell]  6 Se 2.85
2 Er 0.0000 0.0000 0.2799 [6 per cell]  6 Se 2.83-2.90
3 Tm 0.0000 0.0000 0.4459 [6 per cell]  6 Se 2.72-2.98
4 Se 0.0000 0.0000 0.0819 [6 per cell]  3 Er 2.90, 3 Tm 2.98
5 Se 0.0000 0.0000 0.1976 [6 per cell]  3 Tm 2.72
6 Se 0.0000 0.0000 0.3604 [6 per cell]  6 Er 2.83-2.85

=====

10.
Here is a geometry-optimized TlPPt structure from Alexandria via LeMat-Bulk. Energies are from PBE-GGA.

Energy of formation, eV/f.u.: 0.4
Calculated total energy, eV per cell: -53.52
Total magnetic moment, μB/cell: 0.00
Density of states at the Fermi level, states/eV/atom: 0.395

a b c (Å): 6.3229 6.3229 6.3229
angles (deg): 90.00 90.00 90.00
Last column: nearest neighbours and their distance in Å.
Space group F-43m (No. 216)
Symmetry-distinct sites (fractional):
1 Tl 0.0000 0.0000 0.0000 [4 per cell]  4 Pt 2.74
2 P 0.0000 0.0000 0.5000 [4 per cell]  4 Pt 2.74
3 Pt 0.2500 0.2500 0.7500 [4 per cell]  4 Tl 2.74, 4 P 2.74

=====

11.
Here is a geometry-optimized Bi3PS6 structure from Alexandria via LeMat-Bulk. Energies are from PBE-GGA.

Calculated total energy, eV per cell: -176.02
Energy relative to the elements, uncorrected, eV/atom: -0.2188
Total magnetic moment, μB/cell: 0.00

a b c (Å): 10.8521 13.5252 7.2373
angles (deg): 90.00 90.00 90.00
Last column: nearest neighbours and their distance in Å.
Space group Cmc2_1 (No. 36)
Symmetry-distinct sites (fractional):
1 Bi 0.0000 0.1040 0.0000 [4 per cell]  3 S 2.69-2.73
2 Bi 0.1944 0.3862 0.9817 [8 per cell]  6 S 2.82-2.90
3 P 0.0000 0.3284 0.3796 [4 per cell]  3 S 2.16-2.20
4 S 0.0000 0.2757 0.8137 [4 per cell]  3 Bi 2.69-2.86
5 S 0.0000 0.4610 0.2042 [4 per cell]  1 P 2.20
6 S 0.1511 0.2447 0.2651 [8 per cell]  1 P 2.16
7 S 0.1678 0.0220 0.7638 [8 per cell]  3 Bi 2.73-2.85

=====

12.
Here is a geometry-optimized Sc2PaIrO8 structure from Alexandria via LeMat-Bulk. Energies are from PBE-GGA.

Calculated total energy, eV per cell: -102.69
Energy relative to the elements, uncorrected, eV/atom: -2.6674
Total magnetic moment, μB/cell: 1.81
Density of states at the Fermi level, states/eV/atom: 0.337

a b c (Å): 4.8790 6.4898 4.8822
angles (deg): 90.00 91.29 90.00
Last column: nearest neighbours and their distance in Å.
Space group P2/m (No. 10)
Symmetry-distinct sites (fractional):
1 Sc 0.0000 0.2433 0.0000 [2 per cell]  6 O 2.11-2.15
2 Pa 0.5000 0.5000 0.5000 [1 per cell]  6 O 2.12-2.22
3 Ir 0.5000 0.0000 0.5000 [1 per cell]  6 O 1.95-2.03
4 O 0.1902 0.5000 0.1884 [2 per cell]  2 Sc 2.11, 1 Pa 2.12
5 O 0.2152 0.0000 0.2139 [2 per cell]  1 Ir 1.95, 2 Sc 2.15
6 O 0.3032 0.2301 0.6953 [4 per cell]  1 Ir 2.03, 1 Sc 2.12, 1 Pa 2.22